# Ag2WAu

A relaxed Ag2WAu crystal (GGA-PBE, Alexandria via LeMat-Bulk).

As for the crystal system: monoclinic. The calculation puts the formation energy at 49 kJ per mole of atoms. The calculation puts the density of states at the Fermi level at 2.84 states/eV/cell. For the energy, the calculation gives -4.98 eV per atom.

The space group is P2/m (No. 10) and the conventional cell measures 2.728, 4.869 and 5.201 Å, with angles of 90.00, 92.35 and 90.00 degrees. The distinct sites, in fractional coordinates, are Ag at (0.213, 0.000, 0.243), W at (0.500, 0.500, 0.000) and Au at (0.000, 0.500, 0.500).



# K2Rb6H

A relaxed K2Rb6H crystal (GGA-PBE, Alexandria via LeMat-Bulk).

As for the crystal system: trigonal. The calculation puts the density of states at the Fermi level at 16.66 states/eV/cell. For the energy, the calculation gives -1.22 eV per atom.

The space group is R3m (No. 160, hexagonal axes) and the conventional cell measures 9.4200, 9.4200 and 24.7905 Å, with angles of 90.00, 90.00 and 120.00 degrees. The distinct sites, in fractional coordinates, are K at (0.0000, 0.0000, 0.0000), K at (0.0000, 0.0000, 0.1767), Rb at (0.1768, 0.3536, 0.3318), Rb at (0.1780, 0.3559, 0.4964) and H at (0.0000, 0.0000, 0.7486).



Values of total moment, in order: 0.0003; 0.0000, all in μB per atom.
Values of mass density, in order: 14.4; 1.5, all in g cm⁻³.